(1)
VASP calculation (GGA-PBE) on a relaxed structure of Ba2ZrI2.

abc: 5.427 5.427 9.380
angles: 73.18 73.18 90.00
Sites, in units of the cell vectors:
I  0.750  0.250  0.500
I  0.250  0.750  0.500
Ba  0.377  0.377  0.246
Ba  0.623  0.623  0.754
Zr  0.000  0.000  0.000

Calculated values
formation energy from raw total energies = -4.874 kcal/mol of atoms
Fermi-level density of states = 4.6 states/eV per cell
symmetry = No. 139
ρ = 4.08 g cm⁻³
VASP energy = -3.31 eV/atom

(2)
VASP calculation (GGA-PBE) on a relaxed structure of Ba2ZrI.

abc: 9.528 9.528 7.855
angles: 52.66 52.66 90.00
Sites, in units of the cell vectors:
I  0.000  0.000  0.000
I  0.750  0.250  0.500
Ba  0.640  0.125  0.250
Ba  0.110  0.625  0.250
Ba  0.375  0.360  0.750
Ba  0.875  0.890  0.750
Zr  0.500  0.500  0.000
Zr  0.250  0.750  0.500

Calculated values
formation energy from raw total energies = 6.090 kcal/mol of atoms
Fermi-level density of states = 14.1 states/eV per cell
symmetry = No. 122
ρ = 4.46 g cm⁻³
VASP energy = -3.22 eV/atom

(3)
VASP calculation (GGA-PBE) on a relaxed structure of BaZr2I.

abc: 5.325 5.325 5.325
angles: 60.00 60.00 60.00
Sites, in units of the cell vectors:
I  0.000  0.000  0.000
Ba  0.500  0.500  0.500
Zr  0.250  0.250  0.250
Zr  0.750  0.750  0.750

Calculated values
formation energy from raw total energies = 16.636 kcal/mol of atoms
Fermi-level density of states = 7.6 states/eV per cell
symmetry = No. 225
ρ = 6.95 g cm⁻³
VASP energy = -4.42 eV/atom

(4)
VASP calculation (GGA-PBE) on a relaxed structure of Ba3ZrI.

abc: 6.315 6.315 6.315
angles: 90.00 90.00 90.00
Sites, in units of the cell vectors:
I  0.500  0.500  0.500
Ba  0.000  0.500  0.000
Ba  0.000  0.000  0.500
Ba  0.500  0.000  0.000
Zr  0.000  0.000  0.000

Calculated values
formation energy from raw total energies = 5.655 kcal/mol of atoms
Fermi-level density of states = 5.7 states/eV per cell
symmetry = No. 221
ρ = 4.16 g cm⁻³
VASP energy = -2.93 eV/atom

(5)
VASP calculation (GGA-PBE) on a relaxed structure of BaZrI2.

abc: 5.592 5.592 5.592
angles: 60.00 60.00 60.00
Sites, in units of the cell vectors:
I  0.250  0.250  0.250
I  0.750  0.750  0.750
Ba  0.500  0.500  0.500
Zr  0.000  0.000  0.000

Calculated values
formation energy from raw total energies = -8.077 kcal/mol of atoms
Fermi-level density of states = 0.9 states/eV per cell
symmetry = No. 225
ρ = 6.48 g cm⁻³
VASP energy = -3.74 eV/atom

(6)
VASP calculation (GGA-PBE) on a relaxed structure of Ba2ZrI2.

abc: 10.118 10.118 4.087
angles: 90.00 90.00 90.00
Sites, in units of the cell vectors:
I  0.131  0.631  0.500
I  0.631  0.869  0.500
I  0.869  0.369  0.500
I  0.369  0.131  0.500
Ba  0.333  0.833  0.000
Ba  0.833  0.667  0.000
Ba  0.667  0.167  0.000
Ba  0.167  0.333  0.000
Zr  0.000  0.000  0.000
Zr  0.500  0.500  0.000

Calculated values
formation energy from raw total energies = -6.287 kcal/mol of atoms
Fermi-level density of states = 9.2 states/eV per cell
symmetry = No. 127
ρ = 4.92 g cm⁻³
VASP energy = -3.37 eV/atom